No. 1
The following is a DFT calculation (GGA-PBE) of an optimized crystal structure of AgMoPb.

extended XYZ file:
```
3
Lattice="4.645 0.000 0.000 2.322 4.023 0.000 2.322 1.341 3.793" Properties=species:S:1:pos:R:3 pbc="T T T"
Ag 4.645 2.682 1.896
Mo 2.322 1.341 0.948
Pb 0.000 0.000 0.000
```

Output
The magnetic moment comes out at 1.96 μB/f.u. Its density of states at the Fermi level is 0.6002 states/eV/atom. The total energy comes out at -4.876 eV/atom.

---

No. 2
The following is a DFT calculation (GGA-PBE) of an optimized crystal structure of YZrBe2.

extended XYZ file:
```
4
Lattice="-0.216 4.304 -3.711 -3.050 4.368 -1.988 1.165 3.751 1.776" Properties=species:S:1:pos:R:3 pbc="T T T"
Y -0.957 6.107 -1.803
Be 0.874 4.073 1.286
Be -1.385 9.106 -2.620
Zr -0.520 3.098 -0.971
```

Output
The magnetic moment comes out at 0.00 μB/f.u. Its density of states at the Fermi level is 0.5545 states/eV/atom. The total energy comes out at -5.542 eV/atom.

---

No. 3
The following is a DFT calculation (GGA-PBE) of an optimized crystal structure of SrTl2Tc.

extended XYZ file:
```
4
Lattice="3.609 0.000 0.000 0.000 3.610 0.000 0.000 0.000 7.548" Properties=species:S:1:pos:R:3 pbc="T T T"
Sr 1.805 1.805 1.887
Tc 1.805 1.805 5.661
Tl 0.000 0.000 7.177
Tl 0.000 0.000 4.146
```

Output
The magnetic moment comes out at 0.81 μB/f.u. Its density of states at the Fermi level is 0.7482 states/eV/atom. The total energy comes out at -3.874 eV/atom.

---

No. 4
The following is a DFT calculation (GGA-PBE) of an optimized crystal structure of KBeCd.

extended XYZ file:
```
3
Lattice="-3.252 -3.050 -3.096 -1.860 -4.745 1.869 -5.246 -0.542 1.286" Properties=species:S:1:pos:R:3 pbc="T T T"
Be 0.000 0.000 0.000
K -7.768 -6.253 0.045
Cd -5.179 -4.169 0.030
```

Output
The magnetic moment comes out at 0.00 μB/f.u. Its density of states at the Fermi level is 0.7413 states/eV/atom. The total energy comes out at -0.859 eV/atom.

---

No. 5
The following is a DFT calculation (GGA-PBE) of an optimized crystal structure of Zn4P5.

extended XYZ file:
```
18
Lattice="-2.318 -5.486 5.375 0.565 -1.971 -7.756 4.780 -1.344 0.690" Properties=species:S:1:pos:R:3 pbc="T T T"
P 1.584 -1.693 -5.164
P 0.648 -2.662 -0.570
P -0.400 -4.111 3.871
P 3.761 -1.623 -1.902
P 2.379 -6.140 -1.121
P 2.862 -2.719 2.194
P -1.357 -4.315 0.998
P 1.994 -3.815 -3.034
P -0.396 -3.143 -3.379
P 1.033 -4.987 1.343
Zn 0.000 0.000 0.000
Zn 2.390 -0.672 0.345
Zn 1.393 -1.027 -2.545
Zn 0.056 -5.180 -1.374
Zn 0.383 -2.259 2.056
Zn 3.952 -2.289 -4.521
Zn 2.971 -3.621 -0.317
Zn 2.079 -4.572 4.009
```

Output
The magnetic moment comes out at 0.00 μB/f.u. Its density of states at the Fermi level is 0.4053 states/eV/atom. The total energy comes out at -3.124 eV/atom.

---

No. 6
The following is a DFT calculation (GGA-PBE) of an optimized crystal structure of BaPmCdIn.

extended XYZ file:
```
4
Lattice="5.733 0.000 0.000 2.867 4.965 0.000 2.867 1.655 4.681" Properties=species:S:1:pos:R:3 pbc="T T T"
Cd 2.867 1.655 1.170
In 8.600 4.965 3.511
Ba 5.733 3.310 2.341
Pm 0.000 0.000 0.000
```

Output
The magnetic moment comes out at 0.00 μB/f.u. Its density of states at the Fermi level is 1.0389 states/eV/atom. The total energy comes out at -2.864 eV/atom.

---

No. 7
The following is a DFT calculation (GGA-PBE) of an optimized crystal structure of CsUNbO6.

extended XYZ file:
```
36
Lattice="-5.227 -5.119 -4.887 6.235 -3.713 -2.780 1.429 -8.112 6.969" Properties=species:S:1:pos:R:3 pbc="T T T"
Cs 0.096 -12.633 0.887
Cs 2.815 -8.602 1.675
Cs 2.342 -4.310 -1.584
Cs -0.377 -8.341 -2.372
U 6.539 -6.366 -0.589
U -2.376 -4.132 -1.312
U -4.102 -10.577 -0.109
U 4.814 -12.812 0.615
Nb 1.176 -8.099 -6.233
Nb -0.496 -5.810 1.076
Nb 1.261 -8.844 5.536
Nb 2.933 -11.134 -1.774
O -3.305 -8.047 -3.511
O 2.655 -7.165 -2.890
O 5.742 -8.897 2.813
O -0.218 -9.779 2.192
O -2.467 -10.845 -0.895
O 3.629 -12.103 1.822
O 4.904 -6.098 0.197
O -1.192 -4.841 -2.519
O -3.469 -12.140 1.511
O 4.616 -10.823 -0.598
O 5.907 -4.803 -2.208
O -2.179 -6.121 -0.099
O 2.251 -11.967 -3.402
O -1.617 -1.987 -1.798
O 0.186 -4.977 2.704
O 4.055 -14.956 1.101
O -0.348 -7.449 -5.566
O 0.842 -6.642 0.235
O 2.785 -9.494 4.868
O 1.595 -10.302 -0.932
O 1.992 -9.272 -4.886
O -0.658 -3.996 0.341
O 0.445 -7.671 4.188
O 3.095 -12.948 -1.038
```

Output
The magnetic moment comes out at 0.00 μB/f.u. The calculation puts the raw formation energy at -2.776 eV per atom. Its density of states at the Fermi level is 0.0000 states/eV/atom. The total energy comes out at -8.549 eV/atom.

---

No. 8
The following is a DFT calculation (GGA-PBE) of an optimized crystal structure of BaLiIn2Ir.

extended XYZ file:
```
5
Lattice="5.189 0.000 0.000 0.000 5.189 0.000 0.000 0.000 5.148" Properties=species:S:1:pos:R:3 pbc="T T T"
Ir 0.000 0.000 0.000
Li 0.000 0.000 2.574
Ba 2.595 2.595 2.574
In 0.000 2.595 0.000
In 2.595 0.000 0.000
```

Output
The magnetic moment comes out at 0.00 μB/f.u. Its density of states at the Fermi level is 0.6403 states/eV/atom. The total energy comes out at -3.914 eV/atom.

---

No. 9
The following is a DFT calculation (GGA-PBE) of an optimized crystal structure of LiCrMo4.

extended XYZ file:
```
6
Lattice="0.000 3.683 3.683 3.683 0.000 3.683 3.683 3.683 0.000" Properties=species:S:1:pos:R:3 pbc="T T T"
Li 0.000 0.000 0.000
Cr 5.524 5.524 5.524
Mo 2.755 4.611 4.611
Mo 4.611 4.611 2.755
Mo 4.611 2.755 4.611
Mo 2.755 2.755 2.755
```

Output
The magnetic moment comes out at 1.75 μB/f.u. Its density of states at the Fermi level is 1.1341 states/eV/atom. The total energy comes out at -8.562 eV/atom.

---

No. 10
The following is a DFT calculation (GGA-PBE) of an optimized crystal structure of CsNaPtCl6.

extended XYZ file:
```
9
Lattice="6.924 0.004 0.002 3.466 5.994 -0.002 0.002 -0.004 7.497" Properties=species:S:1:pos:R:3 pbc="T T T"
Cs 6.924 0.005 0.002
Na 6.925 3.996 3.748
Pt 3.464 1.998 3.748
Cl 1.549 2.049 2.383
Cl 2.551 0.314 5.115
Cl 5.380 2.054 5.115
Cl 2.459 3.633 5.110
Cl 4.470 3.628 2.382
Cl 4.377 0.309 2.387
```

Output
The magnetic moment comes out at 0.00 μB/f.u. The calculation puts the raw formation energy at -1.133 eV per atom. Its density of states at the Fermi level is 0.0000 states/eV/atom. The total energy comes out at -3.277 eV/atom.

---

No. 11
The following is a DFT calculation (GGA-PBE) of an optimized crystal structure of KMgCo2Cl8.

extended XYZ file:
```
12
Lattice="-2.744 -5.663 -0.517 0.468 -4.177 4.712 -8.530 0.139 5.201" Properties=species:S:1:pos:R:3 pbc="T T T"
K -5.403 -4.851 4.699
Mg 0.000 0.000 0.000
Co -2.560 -2.488 2.280
Co -8.246 -7.214 7.117
Cl -4.383 -1.685 3.172
Cl -2.958 -4.628 1.793
Cl -6.423 -8.016 6.225
Cl -3.684 -7.935 3.282
Cl -7.122 -1.767 6.115
Cl -1.676 -5.461 5.160
Cl -9.130 -4.241 4.237
Cl -7.848 -5.073 7.605
```

Output
The magnetic moment comes out at 7.00 μB/f.u. The calculation puts the raw formation energy at -1.085 eV per atom. Its density of states at the Fermi level is 1.1273 states/eV/atom. The total energy comes out at -3.725 eV/atom.

---

No. 12
The following is a DFT calculation (GGA-PBE) of an optimized crystal structure of Ba2ScCl.

extended XYZ file:
```
4
Lattice="-1.510 -3.097 2.423 1.984 -1.050 3.565 -5.363 5.244 7.001" Properties=species:S:1:pos:R:3 pbc="T T T"
Ba -5.253 5.112 6.904
Ba -2.554 0.682 6.592
Cl -3.667 0.823 9.742
Sc -1.222 0.274 3.247
```

Output
The magnetic moment comes out at 0.00 μB/f.u. The calculation puts the raw formation energy at -0.615 eV per atom. Its density of states at the Fermi level is 0.6650 states/eV/atom. The total energy comes out at -3.621 eV/atom.

---

No. 13
The following is a DFT calculation (GGA-PBE) of an optimized crystal structure of AcRhPbO.

extended XYZ file:
```
8
Lattice="4.389 0.000 0.000 0.000 4.389 0.000 0.000 0.000 9.395" Properties=species:S:1:pos:R:3 pbc="T T T"
Ac 2.194 0.000 5.903
Ac 0.000 2.194 3.492
Rh 2.194 2.194 0.000
Rh 0.000 0.000 0.000
Pb 0.000 2.194 7.836
Pb 2.194 0.000 1.558
O 0.000 0.000 4.697
O 2.194 2.194 4.697
```

Output
The magnetic moment comes out at 0.00 μB/f.u. The calculation puts the raw formation energy at -1.600 eV per atom. Its density of states at the Fermi level is 0.1750 states/eV/atom. The total energy comes out at -6.631 eV/atom.

---

No. 14
The following is a DFT calculation (GGA-PBE) of an optimized crystal structure of Rb3GaI6.

extended XYZ file:
```
20
Lattice="-6.417 0.629 6.067 -7.733 1.690 -8.354 -0.490 -11.479 0.671" Properties=species:S:1:pos:R:3 pbc="T T T"
Rb -10.236 -6.236 -4.186
Rb -12.040 -8.475 0.597
Rb -5.939 -5.520 -1.088
Rb -10.084 -3.504 0.780
Rb -7.150 -2.654 5.166
Rb -5.345 -0.416 0.382
Ga -2.328 -8.944 -0.590
Ga -10.043 -0.438 -3.171
I -6.762 -5.884 -4.626
I -9.346 -6.705 -0.814
I -4.690 -9.311 -1.622
I -11.387 -2.655 -2.935
I -2.013 -10.703 1.313
I -6.885 -8.488 3.706
I -8.171 -0.631 -4.928
I -11.736 1.456 -3.772
I -2.403 -6.589 0.515
I -9.100 0.068 -0.798
I -3.989 -2.583 -2.036
I -6.573 -3.404 1.776
```

Output
The magnetic moment comes out at 0.00 μB/f.u. The calculation puts the raw formation energy at -1.075 eV per atom. Its density of states at the Fermi level is 0.0000 states/eV/atom. The total energy comes out at -2.598 eV/atom.

---

No. 15
The following is a DFT calculation (GGA-PBE) of an optimized crystal structure of ZrNi2Hg.

extended XYZ file:
```
4
Lattice="-4.665 -3.155 -4.247 0.419 -0.354 4.374 -3.189 0.765 0.364" Properties=species:S:1:pos:R:3 pbc="T T T"
Hg -2.123 -1.754 0.064
Ni 0.000 0.000 0.000
Ni -3.927 -1.195 -1.942
Zr -1.385 0.206 2.369
```

Output
The magnetic moment comes out at 0.00 μB/f.u. Its density of states at the Fermi level is 1.0852 states/eV/atom. The total energy comes out at -5.177 eV/atom.

---

No. 16
The following is a DFT calculation (GGA-PBE) of an optimized crystal structure of ZnCd2SbBr.

extended XYZ file:
```
5
Lattice="5.710 0.000 0.000 0.000 5.334 0.000 0.000 0.000 5.710" Properties=species:S:1:pos:R:3 pbc="T T T"
Sb 0.000 0.000 0.000
Zn 0.000 2.667 0.000
Br 2.855 2.667 2.855
Cd 0.000 0.000 2.855
Cd 2.855 0.000 0.000
```

Output
The magnetic moment comes out at 0.00 μB/f.u. The calculation puts the raw formation energy at 0.045 eV per atom. Its density of states at the Fermi level is 0.3353 states/eV/atom. The total energy comes out at -1.734 eV/atom.

---

No. 17
The following is a DFT calculation (GGA-PBE) of an optimized crystal structure of Li2CeGa6.

extended XYZ file:
```
9
Lattice="-3.632 -1.947 -0.460 2.925 -4.305 -4.866 1.846 -0.664 6.914" Properties=species:S:1:pos:R:3 pbc="T T T"
Li 0.797 -6.047 0.613
Li 0.342 -0.868 0.974
Ce 1.462 -2.153 -2.433
Ga 0.778 -5.412 -1.922
Ga 0.361 -1.503 3.509
Ga 1.461 -3.123 1.679
Ga -1.314 -1.712 -1.065
Ga 0.607 -4.540 -4.261
Ga -0.322 -3.793 -0.092
```

Output
The magnetic moment comes out at 0.87 μB/f.u. Its density of states at the Fermi level is 0.8252 states/eV/atom. The total energy comes out at -3.417 eV/atom.

---

No. 18
The following is a DFT calculation (GGA-PBE) of an optimized crystal structure of PmPuTeO2.

extended XYZ file:
```
5
Lattice="-3.509 1.452 1.257 -0.054 -2.692 2.958 4.861 4.755 1.711" Properties=species:S:1:pos:R:3 pbc="T T T"
Pm 0.323 2.205 4.717
Pu 0.967 1.299 1.200
Te -1.767 -0.601 2.125
O -0.218 2.789 2.534
O 1.510 0.717 3.385
```

Output
The magnetic moment comes out at 5.00 μB/f.u. The calculation puts the raw formation energy at -2.649 eV per atom. Its density of states at the Fermi level is 2.1700 states/eV/atom. The total energy comes out at -9.077 eV/atom.

---

No. 19
The following is a DFT calculation (GGA-PBE) of an optimized crystal structure of LaDy2I.

extended XYZ file:
```
4
Lattice="3.609 0.000 0.000 1.805 3.126 0.000 1.805 1.042 11.848" Properties=species:S:1:pos:R:3 pbc="T T T"
I 3.609 2.084 5.924
La 0.000 0.000 0.000
Dy 1.805 1.042 8.417
Dy 5.414 3.126 3.431
```

Output
The magnetic moment comes out at 0.00 μB/f.u. The calculation puts the raw formation energy at -0.074 eV per atom. Its density of states at the Fermi level is 1.7604 states/eV/atom. The total energy comes out at -3.995 eV/atom.

---

No. 20
The following is a DFT calculation (GGA-PBE) of an optimized crystal structure of Ba12Au3Br5.

extended XYZ file:
```
80
Lattice="17.098 0.000 0.000 -5.699 16.120 0.000 -5.699 -8.060 13.961" Properties=species:S:1:pos:R:3 pbc="T T T"
Au 9.974 5.038 1.745
Au 9.974 11.083 1.745
Au -1.425 7.053 8.725
Au 1.425 -1.008 5.235
Au 12.824 0.000 3.490
Au 1.425 8.060 3.490
Au 4.275 0.000 10.470
Au -7.124 8.060 10.470
Au 4.275 9.068 8.725
Au 7.124 1.008 5.235
Au -4.275 -3.023 12.216
Au -4.275 3.023 12.216
Br -1.425 4.030 3.490
Br -2.850 8.060 0.000
Br 0.000 0.000 0.000
Br 4.275 3.023 1.745
Br 5.699 -4.030 6.980
Br 5.699 8.060 0.000
Br -4.275 9.068 5.235
Br 7.124 -5.038 12.216
Br 7.124 7.053 5.235
Br 1.425 -4.030 10.470
Br 4.275 12.090 3.490
Br 2.850 4.030 6.980
Br 8.549 0.000 0.000
Br -2.850 -4.030 6.980
Br -1.425 1.008 8.725
Br -1.425 13.098 1.745
Br -5.699 4.030 6.980
Br 9.974 -1.008 8.725
Br 1.425 5.038 12.216
Br 7.124 4.030 10.470
Ba 11.404 1.650 0.746
Ba -0.005 5.501 5.924
Ba 12.519 3.786 3.800
Ba 7.429 2.632 1.802
Ba 2.246 6.297 9.414
Ba 11.910 7.874 2.434
Ba -1.120 9.214 5.602
Ba -4.579 13.489 1.802
Ba 0.604 9.824 9.414
Ba 8.038 8.246 2.434
Ba 8.544 4.209 5.179
Ba 8.544 14.470 0.746
Ba -5.095 7.271 7.726
Ba 3.361 6.045 1.378
Ba -5.694 11.911 5.179
Ba 2.845 -2.559 8.036
Ba -0.604 0.975 3.180
Ba 3.361 10.261 1.056
Ba 7.429 12.335 3.800
Ba -0.511 5.859 1.056
Ba -3.454 9.035 10.781
Ba 3.970 6.906 5.602
Ba 7.945 8.849 7.726
Ba 6.211 -2.015 12.582
Ba 1.729 1.154 8.359
Ba -2.246 -0.789 6.234
Ba -0.511 10.075 1.378
Ba -1.729 -4.275 10.160
Ba 9.153 -0.975 3.180
Ba 6.211 2.201 12.905
Ba 2.338 -2.201 12.905
Ba 2.855 10.619 5.924
Ba 6.303 7.085 10.781
Ba 11.394 -3.851 8.782
Ba 10.795 0.789 6.234
Ba -2.845 -6.410 13.215
Ba 2.338 2.015 12.582
Ba 5.095 -1.764 4.546
Ba -2.338 -0.186 11.526
Ba -2.845 3.851 8.782
Ba 10.278 -5.428 12.159
Ba 6.820 -1.154 8.359
Ba -1.729 5.428 12.159
Ba -6.211 0.186 11.526
Ba 3.454 1.764 4.546
Ba -6.820 4.275 10.160
Ba 5.704 2.559 8.036
Ba -5.704 6.410 13.215
```

Output
The magnetic moment comes out at 0.87 μB/f.u. The calculation puts the raw formation energy at -0.836 eV per atom. Its density of states at the Fermi level is 1.2352 states/eV/atom. The total energy comes out at -2.899 eV/atom.

---

No. 21
The following is a DFT calculation (GGA-PBE) of an optimized crystal structure of Tb2ZrH.

extended XYZ file:
```
4
Lattice="-2.627 -0.106 1.939 -0.708 -2.985 -1.123 4.472 -3.272 5.880" Properties=species:S:1:pos:R:3 pbc="T T T"
H -1.667 -1.546 0.408
Tb 3.547 -2.595 4.664
Tb 0.925 -0.677 1.216
Zr 0.568 -3.182 3.348
```

Output
The magnetic moment comes out at 0.00 μB/f.u. Its density of states at the Fermi level is 0.9587 states/eV/atom. The total energy comes out at -5.194 eV/atom.